DFT (GGA+U) results for crystalline Cr2BrClF at its relaxed geometry. Values from VASP.

The structure in Quantum ESPRESSO input format:
```
&SYSTEM
  ibrav = 0, nat = 5, ntyp = 4
/
ATOMIC_SPECIES
Cr 52.00 Cr.upf
Br 79.90 Br.upf
Cl 35.45 Cl.upf
F 19.00 F.upf
CELL_PARAMETERS angstrom
4.873 0.000 0.000
0.000 4.873 0.000
0.000 0.000 4.649
ATOMIC_POSITIONS angstrom
Cr 0.000 2.436 0.000
Cr 2.436 0.000 0.000
Br 0.000 0.000 2.325
Cl 2.436 2.436 0.000
F 2.436 2.436 2.325
```

Results
The space group is P4/mmm (123). The total energy comes out at -22.30 eV per cell.